NdSm6Ho3 | PBE-GGA | relaxed

Properties
Spin magnetization: 0.00 μB per cell
Formation energy from the elements: 0.1475 eV/atom
ΔE to the lowest computed polymorph: 21.0 meV per atom
Crystal system: orthorhombic
Calculated total energy: -90.68 eV per cell

abc: 6.280 11.086 11.086
angles: 120.25 90.00 90.00
Positions (direct):
Sm1 0.544 0.625 0.709
Sm2 0.643 0.280 0.720
Sm3 0.044 0.375 0.291
Sm4 0.371 0.053 0.471
Sm5 0.871 0.947 0.529
Sm6 0.890 0.039 0.961
Sm7 0.390 0.961 0.039
Sm8 0.544 0.291 0.375
Sm9 0.044 0.709 0.625
Sm10 0.143 0.720 0.280
Sm11 0.871 0.471 0.053
Sm12 0.371 0.529 0.947
Ho1 0.962 0.714 0.942
Ho2 0.462 0.286 0.058
Ho3 0.581 0.615 0.385
Ho4 0.081 0.385 0.615
Ho5 0.962 0.058 0.286
Ho6 0.462 0.942 0.714
Nd1 0.617 0.802 0.198
Nd2 0.117 0.198 0.802



PuHg3Bi | PBE-GGA | relaxed

Properties
Spin magnetization: 11.23 μB per cell
Formation energy from the elements: 0.0142 eV/atom
Crystal system: orthorhombic
Calculated total energy: -38.09 eV per cell

abc: 5.437 8.668 6.516
angles: 90.00 90.00 90.00
Positions (direct):
Pu1 0.000 0.500 0.303
Pu2 0.500 0.000 0.697
Hg1 0.000 0.173 0.538
Hg2 0.000 0.827 0.538
Hg3 0.500 0.673 0.462
Hg4 0.500 0.327 0.462
Hg5 0.000 0.000 0.979
Hg6 0.500 0.500 0.021
Bi1 0.500 0.000 0.200
Bi2 0.000 0.500 0.800



AcGePt2 | PBE-GGA | relaxed

Properties
Spin magnetization: 0.00 μB per cell
Formation energy from the elements: -0.8700 eV/atom
Crystal system: monoclinic
Calculated total energy: -48.57 eV per cell

abc: 5.967 6.111 6.358
angles: 105.00 104.01 118.20
Positions (direct):
Pt1 0.518 0.910 0.789
Pt2 0.729 0.621 0.211
Pt3 0.271 0.379 0.789
Pt4 0.482 0.090 0.211
Ge1 0.242 0.992 0.485
Ge2 0.758 0.008 0.515
Ac1 0.881 0.631 0.762
Ac2 0.119 0.369 0.238



Rb2YSiF6 | PBE-GGA | relaxed

Properties
Spin magnetization: 1.00 μB per cell
Raw formation energy: -271 kJ per mole of atoms
Crystal system: tetragonal
Calculated total energy: -53.10 eV per cell

abc: 6.117 6.117 7.215
angles: 64.92 64.92 90.00
Positions (direct):
F1 0.253 0.747 0.000
F2 0.812 0.812 0.376
F3 0.188 0.188 0.624
F4 0.747 0.253 0.000
F5 0.747 0.747 0.000
F6 0.253 0.253 0.000
Si1 0.500 0.500 0.000
Y1 0.000 0.000 0.000
Rb1 0.750 0.250 0.500
Rb2 0.250 0.750 0.500



Fermi-level density of states values, unit states/eV per atom, following the record order: 1.439 2.693 0.448 0.000.